No. 1
The following is a PBE calculation of a geometry-optimized LaPrAlGa structure, from Alexandria.

Summary:
Energy relative to the elements in eV per formula unit: -1.897
Magnetic moment in μB/f.u.: 0.00
Theoretical density in g/cm3: 5.56
ΔE to the lowest computed polymorph in meV per atom: 0.0
E_tot in eV per atom: -4.59

CIF file:
```
data_LaPrAlGa
_cell_length_a 4.5516
_cell_length_b 4.2677
_cell_length_c 6.2193
_cell_angle_alpha 90.00
_cell_angle_beta 111.46
_cell_angle_gamma 90.00
_symmetry_space_group_name_H-M 'P 1'
_symmetry_Int_Tables_number 1
loop_
_symmetry_equiv_pos_as_xyz
'x,y,z'
loop_
_atom_site_label
_atom_site_type_symbol
_atom_site_fract_x
_atom_site_fract_y
_atom_site_fract_z
La1 La 0.1421 0.0000 0.2842
Pr1 Pr 0.8572 0.5000 0.7144
Al1 Al 0.4340 0.0000 0.8680
Ga1 Ga 0.5667 0.5000 0.1334
```



No. 2
The following is a PBE calculation of a geometry-optimized LaPrAlGa structure, from Alexandria.

Summary:
Energy relative to the elements in eV per formula unit: -1.768
Magnetic moment in μB/f.u.: 0.00
Theoretical density in g/cm3: 5.84
ΔE to the lowest computed polymorph in meV per atom: 32.3
E_tot in eV per atom: -4.56

CIF file:
```
data_LaPrAlGa
_cell_length_a 5.3295
_cell_length_b 5.3295
_cell_length_c 5.3295
_cell_angle_alpha 60.00
_cell_angle_beta 60.00
_cell_angle_gamma 60.00
_symmetry_space_group_name_H-M 'P 1'
_symmetry_Int_Tables_number 1
loop_
_symmetry_equiv_pos_as_xyz
'x,y,z'
loop_
_atom_site_label
_atom_site_type_symbol
_atom_site_fract_x
_atom_site_fract_y
_atom_site_fract_z
Pr1 Pr 0.0000 0.0000 0.0000
Al1 Al 0.7500 0.7500 0.7500
Ga1 Ga 0.2500 0.2500 0.2500
La1 La 0.5000 0.5000 0.5000
```